# 1
Computed, not measured: a crystal of Be4FeRe relaxed with PBEsol at the meta-GGA SCAN level of DFT.

Formation energy from the elements: -265 meV/atom

Lattice parameters (Å, degrees): 4.2399 4.2399 4.2399 60.00 60.00 60.00
Positions (direct):
1 Be 0.3763 0.3763 0.3763
2 Be 0.3763 0.3763 0.8712
3 Be 0.3763 0.8712 0.3763
4 Be 0.8712 0.3763 0.3763
5 Fe 0.0000 0.0000 0.0000
6 Re 0.7500 0.7500 0.7500

---

# 2
Computed, not measured: a crystal of SrZrSi2 relaxed with PBEsol at the meta-GGA SCAN level of DFT.

Formation energy (no corrections): -0.275 eV/atom

Lattice parameters (Å, degrees): 3.1125 3.1125 8.3550 90.00 90.00 90.00
Positions (direct):
1 Sr 0.0000 0.0000 0.0000
2 Zr 0.0000 0.0000 0.5000
3 Si 0.5000 0.5000 0.2750
4 Si 0.5000 0.5000 0.7250